Entry 1:
The following is a DFT calculation (PBEsol) of a relaxed structure of MgTe3.

Cell and atoms, written as CIF:
```
data_MgTe3
_chemical_formula_sum 'Mg1 Te3'
_cell_length_a 6.402
_cell_length_b 6.402
_cell_length_c 6.402
_cell_angle_alpha 141.69
_cell_angle_beta 62.03
_cell_angle_gamma 133.17
_space_group_name_H-M_alt 'P 1'
_space_group_IT_number 1
loop_
_space_group_symop_operation_xyz
'x,y,z'
loop_
_atom_site_label
_atom_site_type_symbol
_atom_site_fract_x
_atom_site_fract_y
_atom_site_fract_z
_atom_site_occupancy
Mg1 Mg 0.000 0.000 0.000 1
Te1 Te 0.344 0.669 0.675 1
Te2 Te 0.591 0.091 0.500 1
Te3 Te 0.994 0.669 0.325 1
```

## Properties
N(E_F)   0.9 states/eV per cell
Formation energy without anion corrections   -0.239 eV/atom
SG   Imm2

***

Entry 2:
The following is a DFT calculation (PBEsol) of a relaxed structure of Ga2PbN.

Cell and atoms, written as CIF:
```
data_Ga2PbN
_chemical_formula_sum 'Ga2 Pb1 N1'
_cell_length_a 4.670
_cell_length_b 4.670
_cell_length_c 4.670
_cell_angle_alpha 60.00
_cell_angle_beta 60.00
_cell_angle_gamma 60.00
_space_group_name_H-M_alt 'P 1'
_space_group_IT_number 1
loop_
_space_group_symop_operation_xyz
'x,y,z'
loop_
_atom_site_label
_atom_site_type_symbol
_atom_site_fract_x
_atom_site_fract_y
_atom_site_fract_z
_atom_site_occupancy
Ga1 Ga 0.250 0.250 0.250 1
Ga2 Ga 0.750 0.750 0.750 1
Pb1 Pb 0.000 0.000 0.000 1
N1 N 0.500 0.500 0.500 1
```

## Properties
N(E_F)   2.7 states/eV per cell
Formation energy without anion corrections   1.056 eV/atom
SG   Fm-3m

***

Entry 3:
The following is a DFT calculation (PBEsol) of a relaxed structure of YAl2In.

Cell and atoms, written as CIF:
```
data_YAl2In
_chemical_formula_sum 'Y1 Al2 In1'
_cell_length_a 4.361
_cell_length_b 4.361
_cell_length_c 4.277
_cell_angle_alpha 90.00
_cell_angle_beta 90.00
_cell_angle_gamma 90.00
_space_group_name_H-M_alt 'P 1'
_space_group_IT_number 1
loop_
_space_group_symop_operation_xyz
'x,y,z'
loop_
_atom_site_label
_atom_site_type_symbol
_atom_site_fract_x
_atom_site_fract_y
_atom_site_fract_z
_atom_site_occupancy
Y1 Y 0.000 0.000 0.000 1
Al1 Al 0.000 0.500 0.500 1
Al2 Al 0.500 0.000 0.500 1
In1 In 0.500 0.500 0.000 1
```

## Properties
Energy of formation   -0.423 eV per atom
N(E_F)   1.5 states/eV per cell
SG   P4/mmm